1.
The following is a PBE-GGA calculation of a relaxed structure of BaY2Ni, from the Alexandria database.

The calculation puts the calculated formation energy at -0.014 eV per atom. The space-group type is Amm2 (38). As for the offset from the most stable computed form: 0.228 eV/f.u. For the calculated volume, the calculation gives 32.96 Å³/atom.

```
BaY2Ni
1.0
3.806 0.000 0.000
0.000 4.058 0.000
0.000 0.000 17.074
Ba Y Ni
2 4 2
Cartesian
0.000 0.000 0.000 Ba
0.000 2.029 8.537 Ba
0.000 0.000 5.272 Y
0.000 2.029 13.809 Y
1.903 0.000 11.544 Y
1.903 2.029 3.007 Y
1.903 0.000 14.236 Ni
1.903 2.029 5.699 Ni
```


2.
The following is a PBE-GGA calculation of a relaxed structure of Ba4YNi, from the Alexandria database.

The calculation puts the calculated formation energy at 0.873 eV per atom. The space-group type is F-43m (216). For the calculated volume, the calculation gives 45.56 Å³/atom.

```
Ba4YNi
1.0
0.000 5.151 5.151
5.151 0.000 5.151
5.151 5.151 0.000
Ba Y Ni
4 1 1
Cartesian
1.284 1.284 1.284 Ba
3.867 3.867 1.284 Ba
3.867 1.284 3.867 Ba
1.284 3.867 3.867 Ba
5.151 5.151 5.151 Y
7.727 7.727 7.727 Ni
```


3.
The following is a PBE-GGA calculation of a relaxed structure of BaYNi, from the Alexandria database.

The calculation puts the calculated formation energy at -0.061 eV per atom. The space-group type is Pmm2 (25). As for the offset from the most stable computed form: 0.331 eV/f.u. For the calculated volume, the calculation gives 33.64 Å³/atom.

```
BaYNi
1.0
3.926 0.000 0.000
0.000 6.475 0.000
0.000 0.000 7.941
Ba Y Ni
2 2 2
Cartesian
0.000 0.000 0.000 Ba
1.963 3.238 2.594 Ba
1.963 0.000 4.517 Y
1.963 3.238 6.391 Y
0.000 1.990 4.952 Ni
0.000 4.486 4.952 Ni
```


4.
The following is a PBE-GGA calculation of a relaxed structure of BaYNi2, from the Alexandria database.

The calculation puts the calculated formation energy at -0.032 eV per atom. The space-group type is C2/m (12). As for the offset from the most stable computed form: 0.279 eV/f.u. For the calculated volume, the calculation gives 28.05 Å³/atom.

```
BaYNi2
1.0
9.386 0.000 0.000
0.000 4.070 0.000
-3.995 0.000 5.875
Ba Y Ni
2 2 4
Cartesian
0.000 0.000 0.000 Ba
4.693 2.035 0.000 Ba
-1.997 2.035 2.938 Y
2.696 0.000 2.938 Y
-0.081 0.000 3.359 Ni
0.779 2.035 2.516 Ni
4.612 2.035 3.359 Ni
5.472 0.000 2.516 Ni
```


5.
The following is a PBE-GGA calculation of a relaxed structure of BaY2Ni, from the Alexandria database.

The calculation puts the calculated formation energy at 0.037 eV per atom. The space-group type is Immm (71). As for the offset from the most stable computed form: 0.434 eV/f.u. For the calculated volume, the calculation gives 31.24 Å³/atom.

```
BaY2Ni
1.0
3.634 0.000 0.000
0.000 5.954 0.000
0.000 0.000 11.550
Ba Y Ni
2 4 2
Cartesian
0.000 0.000 0.000 Ba
1.817 2.977 5.775 Ba
0.000 2.977 2.102 Y
0.000 2.977 9.449 Y
1.817 0.000 3.674 Y
1.817 0.000 7.877 Y
0.000 0.000 5.775 Ni
1.817 2.977 0.000 Ni
```


6.
The following is a PBE-GGA calculation of a relaxed structure of Ba2Y2Ni, from the Alexandria database.

The calculation puts the calculated formation energy at 0.187 eV per atom. The space-group type is P4/mbm (127). For the calculated volume, the calculation gives 35.24 Å³/atom.

```
Ba2Y2Ni
1.0
7.345 0.000 0.000
0.000 7.345 0.000
0.000 0.000 6.533
Ba Y Ni
4 4 2
Cartesian
1.332 2.340 0.000 Ba
2.340 6.012 0.000 Ba
5.004 1.332 0.000 Ba
6.012 5.004 0.000 Ba
1.236 4.908 3.266 Y
2.436 1.236 3.266 Y
4.908 6.109 3.266 Y
6.109 2.436 3.266 Y
0.000 0.000 3.266 Ni
3.672 3.672 3.266 Ni
```


> Which of these has the highest calculated formation energy?

Ba4YNi


> What is the formula in the fourth record?

BaYNi2